Record 1
Compound: Sr4GaBi
Source: Alexandria
Functional: PBE
Structure: optimized geometry

Results
E_tot = -2.77 eV/atom
ΔE_f = -0.49 eV/atom

```
data_Sr4GaBi
_space_group_name_H-M_alt 'C 1 2/c 1'
_space_group_IT_number 15
_space_group_name_Hall '-C 2yc'
_cell_length_a 10.472
_cell_length_b 15.013
_cell_length_c 7.354
_cell_angle_alpha 90.00
_cell_angle_beta 121.81
_cell_angle_gamma 90.00
loop_
_atom_site_label
_atom_site_type_symbol
_atom_site_fract_x
_atom_site_fract_y
_atom_site_fract_z
Sr1 Sr 0.118 0.173 0.089
Sr2 Sr 0.208 0.440 0.281
Ga1 Ga 0.000 0.001 0.250
Bi1 Bi 0.000 0.364 0.750
```



Record 2
Compound: Mn2BeAlW
Source: Alexandria
Functional: PBE
Structure: optimized geometry

Results
E_tot = -5.89 eV/atom
ΔE_f = 1.86 eV/atom

```
data_Mn2BeAlW
_space_group_name_H-M_alt 'P 4/m m m'
_space_group_IT_number 123
_space_group_name_Hall '-P 4 2'
_cell_length_a 4.157
_cell_length_b 4.157
_cell_length_c 4.576
_cell_angle_alpha 90.00
_cell_angle_beta 90.00
_cell_angle_gamma 90.00
loop_
_atom_site_label
_atom_site_type_symbol
_atom_site_fract_x
_atom_site_fract_y
_atom_site_fract_z
Mn1 Mn 0.000 0.500 0.000
Be1 Be 0.000 0.000 0.500
Al1 Al 0.500 0.500 0.000
W1 W 0.500 0.500 0.500
```



Record 3
Compound: KYFe2
Source: Alexandria
Functional: PBE
Structure: optimized geometry

Results
E_tot = -5.50 eV/atom
ΔE_f = 0.62 eV/atom

```
data_KYFe2
_space_group_name_H-M_alt 'P 4/m m m'
_space_group_IT_number 123
_space_group_name_Hall '-P 4 2'
_cell_length_a 3.794
_cell_length_b 3.794
_cell_length_c 7.567
_cell_angle_alpha 90.00
_cell_angle_beta 90.00
_cell_angle_gamma 90.00
loop_
_atom_site_label
_atom_site_type_symbol
_atom_site_fract_x
_atom_site_fract_y
_atom_site_fract_z
K1 K 0.000 0.000 0.000
Y1 Y 0.000 0.000 0.500
Fe1 Fe 0.500 0.500 0.351
```